10
Lattice="7.083 -0.226 -0.102 3.360 4.857 -0.406 3.414 1.261 4.452" Properties=species:S:1:pos:R:3 comment="AlCrIn2F6 | Alexandria | GGA+U | relaxed" dft_energy_ev_per_atom=-5.1624 space_group="P-1, No. 2" pbc="T T T"
Al 3.477 1.530 0.069
Cr 10.408 4.474 2.042
In 6.776 2.907 0.947
In 3.594 1.411 3.645
F 4.749 1.096 1.311
F 2.299 0.420 0.921
F 2.937 2.948 1.154
F 8.070 3.900 3.668
F 7.433 1.372 3.436
F 5.620 3.224 3.279